No. 1
# Al2NCl

Crystalline Al2NCl at its relaxed geometry (GGA-PBEsol, Alexandria).

The value obtained for the uncorrected formation energy is 2.0 eV per formula unit. As for the electronic total energy: -4.18 eV per atom. The crystal system is cubic. The density of states at the Fermi level comes out at 1.13 states/eV/f.u.

The space group is Fm-3m (No. 225) and the conventional cell measures 5.8894, 5.8894 and 5.8894 Å, with angles of 90.00, 90.00 and 90.00 degrees. The distinct sites, in fractional coordinates, are Al at (0.2500, 0.2500, 0.2500), N at (0.0000, 0.0000, 0.0000) and Cl at (0.0000, 0.0000, 0.5000).

***

No. 2
# MnZn2Pt

Crystalline MnZn2Pt at its relaxed geometry (GGA-PBEsol, Alexandria).

As for the electronic total energy: -5.26 eV per atom. The crystal system is tetragonal. As for the formation energy: -0.283 eV per atom. The density of states at the Fermi level comes out at 0.90 states/eV/f.u.

The space group is I4/mmm (No. 139) and the conventional cell measures 3.9217, 3.9217 and 7.0759 Å, with angles of 90.00, 90.00 and 90.00 degrees. The distinct sites, in fractional coordinates, are Mn at (0.0000, 0.0000, 0.0000), Zn at (0.0000, 0.5000, 0.2500) and Pt at (0.0000, 0.0000, 0.5000).

***

No. 3
# CsTaS2N

Crystalline CsTaS2N at its relaxed geometry (GGA-PBEsol, Alexandria).

The value obtained for the uncorrected formation energy is -3.1 eV per formula unit. As for the electronic total energy: -6.77 eV per atom. The crystal system is tetragonal. The density of states at the Fermi level comes out at 3.38 states/eV/f.u.

The space group is P4/mmm (No. 123) and the conventional cell measures 4.9766, 4.9766 and 4.0896 Å, with angles of 90.00, 90.00 and 90.00 degrees. The distinct sites, in fractional coordinates, are Cs at (0.0000, 0.0000, 0.0000), Ta at (0.5000, 0.5000, 0.5000), S at (0.0000, 0.5000, 0.5000) and N at (0.5000, 0.5000, 0.0000).